# 1
Entry from Alexandria via LeMat-Bulk: crystalline Co2Se at its relaxed geometry (PBE-GGA). Values from VASP.

Quantum ESPRESSO input file:
```
&SYSTEM
  ibrav = 0, nat = 3, ntyp = 2
/
ATOMIC_SPECIES
Co 58.93 Co.upf
Se 78.96 Se.upf
ATOMIC_POSITIONS angstrom
Co 0.000 2.160 0.804
Co 1.870 1.080 2.398
Se 0.000 0.000 0.000
CELL_PARAMETERS angstrom
3.741 0.000 0.000
-1.870 3.240 0.000
0.000 0.000 3.202
```

Output
The calculation puts the uncorrected formation energy at 0.22 eV/atom. The value obtained for the spin magnetization is 0.00 μB/f.u.


# 2
Entry from Alexandria via LeMat-Bulk: crystalline MgTc at its relaxed geometry (PBE-GGA). Values from VASP.

Quantum ESPRESSO input file:
```
&SYSTEM
  ibrav = 0, nat = 4, ntyp = 2
/
ATOMIC_SPECIES
Mg 24.30 Mg.upf
Tc 98.00 Tc.upf
ATOMIC_POSITIONS angstrom
Mg 0.000 2.635 1.166
Mg 2.282 1.318 3.498
Tc 0.000 0.000 0.000
Tc 0.000 0.000 2.332
CELL_PARAMETERS angstrom
4.564 0.000 0.000
-2.282 3.953 0.000
0.000 0.000 4.664
```

Output
The value obtained for the formation enthalpy at 0 K is 0.82 eV/atom. The value obtained for the spin magnetization is 0.00 μB/f.u.


# 3
Entry from Alexandria via LeMat-Bulk: crystalline Tb2NiGe3Pt4 at its relaxed geometry (PBE-GGA). Values from VASP.

Quantum ESPRESSO input file:
```
&SYSTEM
  ibrav = 0, nat = 10, ntyp = 4
/
ATOMIC_SPECIES
Tb 158.93 Tb.upf
Ni 58.69 Ni.upf
Ge 72.64 Ge.upf
Pt 195.08 Pt.upf
ATOMIC_POSITIONS angstrom
Tb 0.000 2.103 2.461
Tb 2.103 0.000 7.933
Ni 2.103 2.103 0.000
Ge 0.000 0.000 0.000
Ge 0.000 2.103 6.612
Ge 2.103 0.000 3.782
Pt 0.000 0.000 5.197
Pt 0.000 2.103 9.014
Pt 2.103 0.000 1.380
Pt 2.103 2.103 5.197
CELL_PARAMETERS angstrom
4.206 0.000 0.000
0.000 4.206 0.000
0.000 0.000 10.394
```

Output
The value obtained for the formation enthalpy at 0 K is -0.83 eV/atom. The value obtained for the spin magnetization is 0.00 μB/f.u.


| no. | density of states at the Fermi level (states/eV per atom) |
| --- | --- |
| 1 | 0.8906 |
| 2 | 1.3319 |
| 3 | 0.6963 |